1.
This record from Alexandria via LeMat-Bulk describes an optimized crystal structure of Ca2HgCl. The functional is PBE.

The structure in POSCAR format:
```
Ca2HgCl
1.0
-4.844 -6.943 0.910
-1.358 -8.273 1.487
-0.012 1.475 3.476
Ca Cl Hg
2 1 1
Cartesian
-5.843 -12.922 5.517
-4.421 -9.775 4.177
-3.330 -7.357 3.158
-1.942 -4.297 1.829
```

Values from the calculation:
The calculation puts the mass density at 4.6 g/cm³. The value obtained for the raw total energy is -2.5906 eV/atom. The calculation puts the total magnetic moment at 0.000 Bohr magnetons per cell. Its density of states at the Fermi level is 2.369 states/eV per cell. As for the uncorrected formation energy: -1053 meV/atom.



2.
This record from Alexandria via LeMat-Bulk describes an optimized crystal structure of Ba2HoIn12Ir3. The functional is PBE.

The structure in POSCAR format:
```
Ba2HoIn12Ir3
1.0
-4.695 -7.361 -1.856
1.350 -2.676 -8.408
5.255 -7.209 -0.306
In Ir Ba Ho
12 3 2 1
Cartesian
3.921 -9.451 -3.140
2.746 -5.806 -1.618
4.406 -7.696 -6.430
1.006 -13.579 -5.128
1.403 -6.528 -8.365
0.904 -3.667 -5.441
-2.011 -7.795 -7.429
-2.496 -9.549 -4.140
-0.836 -11.440 -8.951
0.507 -10.718 -2.204
3.859 -11.368 -8.220
-1.949 -5.878 -2.349
0.675 -1.338 -4.204
-2.348 -3.681 -0.928
2.627 -3.604 -0.153
0.772 -6.970 -4.271
1.138 -10.276 -6.298
0.000 0.000 0.000
```

Values from the calculation:
The calculation puts the mass density at 6.7 g/cm³. The value obtained for the raw total energy is -3.7861 eV/atom. The calculation puts the total magnetic moment at 0.000 Bohr magnetons per cell. Its density of states at the Fermi level is 12.609 states/eV per cell. For the formation energy, the calculation gives -0.3 eV/f.u.



3.
This record from Alexandria via LeMat-Bulk describes an optimized crystal structure of CaRu2Au. The functional is PBE.

The structure in POSCAR format:
```
CaRu2Au
1.0
2.833 0.010 0.000
-0.017 2.833 0.000
0.000 0.000 8.831
Ca Ru Au
1 2 1
Cartesian
1.408 1.421 6.623
0.000 0.000 4.257
0.000 0.000 0.159
1.408 1.421 2.208
```

Values from the calculation:
The calculation puts the mass density at 10.3 g/cm³. The value obtained for the raw total energy is -5.4074 eV/atom. The calculation puts the total magnetic moment at 2.349 Bohr magnetons per cell. Its density of states at the Fermi level is 5.404 states/eV per cell. For the formation energy, the calculation gives 2.2 eV/f.u.



4.
This record from Alexandria via LeMat-Bulk describes an optimized crystal structure of PmSc5Co4. The functional is PBE.

The structure in POSCAR format:
```
PmSc5Co4
1.0
3.157 0.000 0.000
0.000 3.157 0.000
0.000 0.000 17.906
Sc Co Pm
5 4 1
Cartesian
1.579 1.579 12.047
1.579 1.579 5.858
1.579 1.579 15.118
1.579 1.579 8.953
1.579 1.579 2.787
0.000 0.000 10.509
0.000 0.000 7.397
0.000 0.000 13.655
0.000 0.000 4.250
0.000 0.000 0.000
```

Values from the calculation:
The calculation puts the mass density at 5.6 g/cm³. The value obtained for the raw total energy is -6.7641 eV/atom. The calculation puts the total magnetic moment at 0.983 Bohr magnetons per cell. Its density of states at the Fermi level is 4.329 states/eV per cell. For the formation energy, the calculation gives -2.8 eV/f.u.



5.
This record from Alexandria via LeMat-Bulk describes an optimized crystal structure of Tb6PrNd3. The functional is PBE.

The structure in POSCAR format:
```
Tb6PrNd3
1.0
-2.402 -2.959 -5.131
9.254 2.187 -5.593
-0.845 -9.352 5.790
Tb Nd Pr
12 6 2
Cartesian
1.031 -4.516 -2.237
3.202 -8.816 0.613
-0.816 -5.392 0.519
5.949 -4.410 -0.619
7.988 0.662 -7.051
6.126 -1.419 -3.233
6.231 -5.463 -6.720
3.131 -2.009 -0.685
0.368 -8.106 -0.662
2.212 -2.039 -6.814
3.849 -6.917 -2.171
-2.548 -11.485 0.906
3.959 -3.986 -4.127
3.453 -10.064 -3.485
1.527 -1.326 -3.642
-1.977 -5.437 -3.612
6.957 -5.953 -3.516
2.892 -5.098 0.996
0.807 -7.492 2.947
5.800 -1.894 -6.600
```

Values from the calculation:
The calculation puts the mass density at 7.5 g/cm³. The value obtained for the raw total energy is -4.5399 eV/atom. The calculation puts the total magnetic moment at 0.000 Bohr magnetons per cell. Its density of states at the Fermi level is 28.355 states/eV per cell. For the formation energy, the calculation gives 1.5 eV/f.u.



6.
This record from Alexandria via LeMat-Bulk describes an optimized crystal structure of InSb2P. The functional is PBE.

The structure in POSCAR format:
```
InSb2P
1.0
9.275 0.079 0.047
8.521 3.664 0.047
8.521 1.792 3.196
Sb P In
2 1 1
Cartesian
0.495 0.104 0.062
12.663 2.664 1.583
19.738 4.152 2.468
6.579 1.384 0.823
```

Values from the calculation:
The calculation puts the mass density at 6.2 g/cm³. The value obtained for the raw total energy is -3.9289 eV/atom. The calculation puts the total magnetic moment at 0.000 Bohr magnetons per cell. Its density of states at the Fermi level is 3.041 states/eV per cell. As for the uncorrected formation energy: 169 meV/atom.



7.
This record from Alexandria via LeMat-Bulk describes an optimized crystal structure of Ca2Tb5Sm12. The functional is PBE.

The structure in POSCAR format:
```
Ca2Tb5Sm12
1.0
-5.077 2.887 -2.168
0.779 -8.420 -2.150
-4.939 -0.099 13.139
Sm Tb Ca
12 5 2
Cartesian
-5.082 -2.685 7.568
-3.729 -0.255 9.761
-7.082 -0.253 9.260
-3.593 -5.568 9.298
-5.644 -0.065 -0.476
-4.630 0.118 3.036
-6.623 0.060 5.967
-4.608 -5.751 5.786
-5.509 -5.378 -0.940
-2.155 -5.380 -0.438
-2.614 -5.693 2.855
-4.155 -2.948 1.254
-2.469 -0.050 6.570
-2.905 -2.855 4.645
-6.332 -2.778 4.176
-3.856 -2.636 -2.281
-5.381 -2.997 11.102
-7.346 -5.602 9.012
-1.892 -0.031 -0.191
```

Values from the calculation:
The calculation puts the mass density at 6.8 g/cm³. The value obtained for the raw total energy is -4.3069 eV/atom. The calculation puts the total magnetic moment at 0.000 Bohr magnetons per cell. Its density of states at the Fermi level is 28.097 states/eV per cell. For the formation energy, the calculation gives 2.0 eV/f.u.



8.
This record from Alexandria via LeMat-Bulk describes an optimized crystal structure of Al2Cr2Pt. The functional is PBE.

The structure in POSCAR format:
```
Al2Cr2Pt
1.0
6.427 0.000 0.000
0.000 6.427 0.000
0.000 0.000 3.356
Al Pt Cr
4 2 4
Cartesian
4.085 0.871 0.000
0.871 2.343 0.000
5.556 4.085 0.000
2.343 5.556 0.000
0.000 0.000 0.000
3.214 3.214 0.000
4.276 5.365 1.678
1.062 4.276 1.678
5.365 2.152 1.678
2.152 1.062 1.678
```

Values from the calculation:
The calculation puts the mass density at 8.5 g/cm³. The value obtained for the raw total energy is -6.5712 eV/atom. The calculation puts the total magnetic moment at 0.001 Bohr magnetons per cell. Its density of states at the Fermi level is 8.996 states/eV per cell. For the formation energy, the calculation gives -0.1 eV/f.u.



9.
This record from Alexandria via LeMat-Bulk describes an optimized crystal structure of PmEr2Pa. The functional is PBE.

The structure in POSCAR format:
```
PmEr2Pa
1.0
3.329 0.000 0.000
1.665 2.883 0.000
1.665 0.961 12.266
Er Pm Pa
2 1 1
Cartesian
1.665 0.961 9.076
4.994 2.883 3.190
3.329 1.922 6.133
0.000 0.000 0.000
```

Values from the calculation:
The calculation puts the mass density at 10.0 g/cm³. The value obtained for the raw total energy is -5.5497 eV/atom. The calculation puts the total magnetic moment at 0.000 Bohr magnetons per cell. Its density of states at the Fermi level is 5.210 states/eV per cell. For the formation energy, the calculation gives 1.2 eV/f.u.



10.
This record from Alexandria via LeMat-Bulk describes an optimized crystal structure of Ce2Th2GaGe4. The functional is PBE.

The structure in POSCAR format:
```
Ce2Th2GaGe4
1.0
6.602 0.263 0.380
-2.938 5.918 -0.380
-2.938 -2.435 5.407
Ga Ge Th Ce
1 4 2 2
Cartesian
0.000 0.000 0.000
-1.070 2.763 3.988
-2.938 3.870 1.039
-2.938 -0.387 3.988
1.797 0.983 1.419
0.363 3.961 1.257
0.363 -0.215 4.150
-3.955 2.344 3.384
-1.921 1.138 1.643
```

Values from the calculation:
The calculation puts the mass density at 8.4 g/cm³. The value obtained for the raw total energy is -5.6072 eV/atom. The calculation puts the total magnetic moment at 2.058 Bohr magnetons per cell. Its density of states at the Fermi level is 12.632 states/eV per cell. For the formation energy, the calculation gives -2.3 eV/f.u.



11.
This record from Alexandria via LeMat-Bulk describes an optimized crystal structure of TbCdSnPd. The functional is PBE.

The structure in POSCAR format:
```
TbCdSnPd
1.0
4.977 0.000 0.000
2.489 4.310 0.000
2.489 1.437 4.064
Cd Pd Sn Tb
1 1 1 1
Cartesian
0.000 0.000 0.000
4.977 2.874 2.032
2.489 1.437 1.016
7.466 4.310 3.048
```

Values from the calculation:
The calculation puts the mass density at 9.5 g/cm³. The value obtained for the raw total energy is -4.2167 eV/atom. The calculation puts the total magnetic moment at 0.000 Bohr magnetons per cell. Its density of states at the Fermi level is 1.918 states/eV per cell. For the formation energy, the calculation gives -2.1 eV/f.u.



12.
This record from Alexandria via LeMat-Bulk describes an optimized crystal structure of CeCdSe. The functional is PBE.

The structure in POSCAR format:
```
CeCdSe
1.0
4.820 0.000 0.000
-2.410 4.174 0.000
0.000 0.000 9.331
Cd Ce Se
2 2 2
Cartesian
0.000 2.783 0.064
2.410 1.391 9.266
0.000 0.000 2.044
0.000 0.000 7.287
2.410 1.391 6.315
0.000 2.783 3.016
```

Values from the calculation:
The calculation puts the mass density at 5.9 g/cm³. The value obtained for the raw total energy is -4.3539 eV/atom. The calculation puts the total magnetic moment at 2.194 Bohr magnetons per cell. Its density of states at the Fermi level is 13.885 states/eV per cell. As for the uncorrected formation energy: -909 meV/atom.